A plane-wave DFT calculation with PBE was carried out for a relaxed structure of BaTePt3.

For the volume, the calculation gives 133 Å³/cell. For the uncorrected formation energy, the calculation gives -1.24 eV/f.u.

It has space group Pm-3m (No. 221), with a = 5.100 Å, b = 5.100 Å, c = 5.100 Å, α = 90.00°, β = 90.00° and γ = 90.00°. The distinct sites, in fractional coordinates, are Ba at (0.000, 0.000, 0.000), Te at (0.500, 0.500, 0.500) and Pt at (0.000, 0.500, 0.500).

***

A plane-wave DFT calculation with PBE was carried out for a relaxed structure of BaTe2Pt.

For the volume, the calculation gives 455 Å³/cell. For the uncorrected formation energy, the calculation gives -1.10 eV/f.u.

It has space group Fm-3m (No. 225), with a = 7.691 Å, b = 7.691 Å, c = 7.691 Å, α = 90.00°, β = 90.00° and γ = 90.00°. The distinct sites, in fractional coordinates, are Ba at (0.000, 0.000, 0.000), Te at (0.250, 0.250, 0.250) and Pt at (0.000, 0.000, 0.500).

***

A plane-wave DFT calculation with PBE was carried out for a relaxed structure of BaTePt.

For the volume, the calculation gives 197 Å³/cell. For the uncorrected formation energy, the calculation gives -2.82 eV/f.u.

It has space group P1 (No. 1), with a = 5.701 Å, b = 5.714 Å, c = 7.075 Å, α = 72.21°, β = 72.10° and γ = 66.74°. The distinct sites, in fractional coordinates, are Ba at (0.000, 0.000, 0.000), Ba at (0.341, 0.658, 0.500), Te at (0.040, 0.381, 0.279), Te at (0.620, 0.961, 0.718), Pt at (0.418, 0.319, 0.949) and Pt at (0.683, 0.584, 0.047).

***

A plane-wave DFT calculation with PBE was carried out for a relaxed structure of BaTePt.

For the volume, the calculation gives 208 Å³/cell. For the uncorrected formation energy, the calculation gives -3.24 eV/f.u.

It has space group Pmma (No. 51), with a = 7.734 Å, b = 4.706 Å, c = 5.720 Å, α = 90.00°, β = 90.00° and γ = 90.00°. The distinct sites, in fractional coordinates, are Ba at (0.250, 0.000, 0.212), Te at (0.250, 0.500, 0.695) and Pt at (0.000, 0.500, 0.000).

***

The lowest uncorrected formation energy belongs to which entry?
number 4

***

uncorrected formation energy of number 4 (BaTePt)?
-3.24 eV/f.u.

***

The lowest uncorrected formation energy belongs to which entry?
number 4

***

Which of these has the lowest uncorrected formation energy?
number 4